Material: FeCu2Pt
Method: DFT, GGA-PBE
State: relaxed

Results
- Energy of formation: -0.054 eV/atom
- Uncorrected energy: -5.728 eV/atom

Unit cell a=4.5425 b=4.5425 c=4.5399 alpha=79.77 beta=79.77 gamma=34.76
With the nearest neighbours (Å) after each atom.
Sites, in units of the cell vectors:
Cu  0.9989  0.9989  0.0158  5 Cu 2.57-2.71, 4 Fe 2.60-2.69, 3 Pt 2.67-2.69
Pt  0.7502  0.7502  0.7389  3 Fe 2.58-2.61, 7 Cu 2.64-2.69, 2 Pt 2.71
Fe  0.5005  0.5005  0.5048  3 Pt 2.58-2.61, 7 Cu 2.60-2.69, 2 Fe 2.71
Cu  0.2504  0.2504  0.2405  5 Cu 2.57-2.71, 4 Pt 2.64-2.65, 3 Fe 2.65-2.67



Material: Nb2ZnReH
Method: DFT, GGA-PBE
State: relaxed

Results
- Uncorrected energy: -7.412 eV/atom
- Energy above the lowest structure with this stoichiometry: 44.7 meV per atom

Unit cell a=4.1846 b=4.1846 c=3.8422 alpha=90.00 beta=90.00 gamma=90.00
With the nearest neighbours (Å) after each atom.
Sites, in units of the cell vectors:
Zn  0.0000  0.0000  0.5000  2 H 1.92
Nb  0.5000  0.0000  0.0000  2 H 2.09
Re  0.5000  0.5000  0.5000  8 Nb 2.84, 4 Zn 2.96
Nb  0.0000  0.5000  0.0000  2 H 2.09
H  0.0000  0.0000  0.0000  2 Zn 1.92, 4 Nb 2.09



Material: TlHgSe
Method: DFT, GGA-PBE
State: relaxed

Results
- Uncorrected energy: -2.142 eV/atom
- E_form (uncorrected): -0.092 eV/atom
- Energy above the lowest structure with this stoichiometry: 137.7 meV per atom

Unit cell a=5.1487 b=5.1487 c=5.1487 alpha=60.00 beta=60.00 gamma=60.00
With the nearest neighbours (Å) after each atom.
Sites, in units of the cell vectors:
Tl  0.0000  0.0000  0.0000  4 Se 3.15
Hg  0.5000  0.5000  0.5000  4 Se 3.15
Se  0.2500  0.2500  0.2500  4 Hg 3.15, 4 Tl 3.15



Material: CaY2Zn2
Method: DFT, GGA-PBE
State: relaxed

Results
- Energy of formation: -0.141 eV/atom
- Uncorrected energy: -3.637 eV/atom
- Energy above the lowest structure with this stoichiometry: 91.7 meV per atom

Unit cell a=8.7102 b=8.7102 c=3.3753 alpha=90.00 beta=90.00 gamma=90.00
With the nearest neighbours (Å) after each atom.
Sites, in units of the cell vectors:
Ca  0.5000  0.5000  0.0000  2 Ca 3.38, 4 Y 3.39, 8 Zn 3.67
Ca  0.0000  0.0000  0.0000  2 Ca 3.38, 4 Y 3.39, 8 Zn 3.67
Y  0.3658  0.8658  0.0000  6 Zn 3.01-3.10, 1 Y 3.31
Zn  0.3366  0.1634  0.5000  6 Y 3.01-3.10
Zn  0.1634  0.6634  0.5000  6 Y 3.01-3.10
Zn  0.6634  0.8366  0.5000  6 Y 3.01-3.10
Y  0.1342  0.3658  0.0000  6 Zn 3.01-3.10, 1 Y 3.31
Y  0.8658  0.6342  0.0000  6 Zn 3.01-3.10, 1 Y 3.31
Y  0.6342  0.1342  0.0000  6 Zn 3.01-3.10, 1 Y 3.31
Zn  0.8366  0.3366  0.5000  6 Y 3.01-3.10



Material: Cr2RhCl
Method: DFT, GGA-PBE
State: relaxed

Results
- Uncorrected energy: -6.924 eV/atom
- E_form (uncorrected): 0.187 eV/atom
- Energy above the lowest structure with this stoichiometry: 85.5 meV per atom

Unit cell a=3.0221 b=3.0221 c=6.8371 alpha=90.00 beta=90.00 gamma=90.00
With the nearest neighbours (Å) after each atom.
Sites, in units of the cell vectors:
Cr  0.0000  0.0000  0.0240  4 Cr 2.65, 4 Cl 2.71, 1 Rh 2.86
Cr  0.5000  0.5000  0.2525  4 Rh 2.50, 4 Cr 2.65
Rh  0.0000  0.0000  0.4424  4 Cr 2.50
Cl  0.5000  0.5000  0.7811  4 Cr 2.71, 4 Cl 3.02



Material: Ca2CrAs
Method: DFT, GGA-PBE
State: relaxed

Results
- Energy of formation: -0.206 eV/atom
- Uncorrected energy: -4.775 eV/atom

Unit cell a=6.3522 b=6.3522 c=6.3522 alpha=146.57 beta=134.26 gamma=57.83
With the nearest neighbours (Å) after each atom.
Sites, in units of the cell vectors:
Cr  0.4382  0.4382  0.0000  2 As 2.52
Ca  0.0358  0.0358  0.0000  4 Cr 3.26, 2 As 3.29, 2 Ca 3.38
As  0.2821  0.7821  0.5000  2 Cr 2.52
Ca  0.7440  0.2440  0.5000  4 As 3.10, 2 Cr 3.28, 2 Ca 3.38



Material: PmReSi2Ru
Method: DFT, GGA-PBE
State: relaxed

Results
- Uncorrected energy: -8.101 eV/atom
- E_form (uncorrected): -0.636 eV/atom

Unit cell a=4.2080 b=4.2080 c=5.7915 alpha=111.30 beta=111.30 gamma=90.00
With the nearest neighbours (Å) after each atom.
Sites, in units of the cell vectors:
Pm  0.0000  0.0000  0.0000  8 Si 3.24, 4 Re 3.26, 4 Ru 3.26
Si  0.3705  0.3705  0.7409  2 Re 2.42, 2 Ru 2.42, 1 Si 2.57
Si  0.6295  0.6295  0.2591  2 Re 2.42, 2 Ru 2.42, 1 Si 2.57
Re  0.7500  0.2500  0.5000  4 Si 2.42
Ru  0.2500  0.7500  0.5000  4 Si 2.42



Material: NaSrAlF6
Method: DFT, GGA-PBE
State: relaxed

Results
- Uncorrected energy: -5.545 eV/atom
- E_form (uncorrected): -3.548 eV/atom
- Energy above the lowest structure with this stoichiometry: 0.0 meV per atom

Unit cell a=5.3956 b=9.5235 c=18.5815 alpha=90.00 beta=90.00 gamma=90.00
With the nearest neighbours (Å) after each atom.
Sites, in units of the cell vectors:
Sr  0.7484  0.1399  0.3675  8 F 2.49-2.74
F  0.4673  0.3221  0.8102  1 Al 1.85
F  0.3205  0.0404  0.0544  1 Al 1.81
F  0.6862  0.6012  0.6914  1 Al 1.81
Al  0.2585  0.8992  0.4933  6 F 1.81-1.86
Al  0.7585  0.3992  0.0067  6 F 1.81-1.86
F  0.9861  0.1491  0.2079  1 Al 1.82
F  0.0293  0.4937  0.0399  1 Al 1.82
F  0.4905  0.7969  0.0355  1 Al 1.84
F  0.1862  0.1012  0.8086  1 Al 1.81
Al  0.7415  0.3992  0.5067  6 F 1.81-1.86
Al  0.2481  0.2413  0.7454  6 F 1.81-1.85
F  0.9709  0.3224  0.9391  1 Al 1.85
F  0.4981  0.8397  0.7111  1 Al 1.83
Al  0.7519  0.7413  0.2546  6 F 1.81-1.85
F  0.0019  0.8397  0.2111  1 Al 1.83
F  0.5320  0.6742  0.8209  1 Al 1.81
Sr  0.7516  0.1399  0.8675  8 F 2.49-2.74
F  0.3138  0.1012  0.3086  1 Al 1.81
F  0.4707  0.4937  0.5399  1 Al 1.82
F  0.1795  0.0404  0.5544  1 Al 1.81
Na  0.2398  0.2727  0.5665  6 F 2.25-2.50
F  0.9707  0.9937  0.9601  1 Al 1.82
Sr  0.7491  0.0026  0.1159  7 F 2.49-2.72
F  0.0291  0.8224  0.0609  1 Al 1.85
F  0.5291  0.3224  0.4391  1 Al 1.85
Sr  0.7509  0.0026  0.6159  7 F 2.49-2.72
Sr  0.2491  0.5026  0.3841  7 F 2.49-2.72
F  0.3310  0.7492  0.4331  1 Al 1.86
Na  0.7551  0.3680  0.1867  6 F 2.24-2.50
F  0.9981  0.3397  0.7889  1 Al 1.83
F  0.4680  0.1742  0.1791  1 Al 1.81
F  0.5509  0.4630  0.0765  1 Al 1.82
F  0.5095  0.2969  0.9645  1 Al 1.84
F  0.4491  0.9630  0.9235  1 Al 1.82
F  0.5293  0.9937  0.4601  1 Al 1.82
F  0.5139  0.1491  0.7079  1 Al 1.82
F  0.1690  0.7492  0.9331  1 Al 1.86
Sr  0.2516  0.6399  0.6325  8 F 2.49-2.74
F  0.9680  0.6742  0.3209  1 Al 1.81
F  0.6795  0.5404  0.9456  1 Al 1.81
Al  0.2415  0.8992  0.9933  6 F 1.81-1.86
Na  0.7398  0.7727  0.9335  6 F 2.25-2.50
Na  0.2449  0.8680  0.8133  6 F 2.24-2.50
Na  0.2602  0.2727  0.0665  6 F 2.25-2.50
F  0.8205  0.5404  0.4456  1 Al 1.81
Al  0.2519  0.2413  0.2454  6 F 1.81-1.85
F  0.4861  0.6491  0.2921  1 Al 1.82
F  0.8138  0.6012  0.1914  1 Al 1.81
F  0.5327  0.8221  0.1898  1 Al 1.85
F  0.0509  0.9630  0.4235  1 Al 1.82
F  0.0139  0.6491  0.7921  1 Al 1.82
Na  0.7449  0.3680  0.6867  6 F 2.24-2.50
F  0.0327  0.3221  0.3102  1 Al 1.85
Sr  0.2509  0.5026  0.8841  7 F 2.49-2.72
F  0.0095  0.7969  0.5355  1 Al 1.84
F  0.9673  0.8221  0.6898  1 Al 1.85
Al  0.7481  0.7413  0.7546  6 F 1.81-1.85
F  0.9905  0.2969  0.4645  1 Al 1.84
F  0.1952  0.3907  0.1841  1 Al 1.85
Na  0.7602  0.7727  0.4335  6 F 2.25-2.50
F  0.8048  0.8907  0.8159  1 Al 1.85
F  0.3048  0.3907  0.6841  1 Al 1.85
F  0.4709  0.8224  0.5609  1 Al 1.85
F  0.6952  0.8907  0.3159  1 Al 1.85
Sr  0.2484  0.6399  0.1325  8 F 2.49-2.74
Na  0.2551  0.8680  0.3133  6 F 2.24-2.50
F  0.6690  0.2492  0.5669  1 Al 1.86
F  0.0320  0.1742  0.6791  1 Al 1.81
F  0.8310  0.2492  0.0669  1 Al 1.86
F  0.9491  0.4630  0.5765  1 Al 1.82
F  0.5019  0.3397  0.2889  1 Al 1.83



Material: TbHo2O4
Method: DFT, GGA-PBE
State: relaxed

Results
- Uncorrected energy: -8.034 eV/atom
- E_form (uncorrected): -3.231 eV/atom

Unit cell a=3.4175 b=5.8393 c=6.4083 alpha=118.85 beta=105.46 gamma=90.00
With the nearest neighbours (Å) after each atom.
Sites, in units of the cell vectors:
O  0.1364  0.8420  0.2727  3 Ho 2.22-2.38, 1 Tb 2.29
Ho  0.7043  0.7054  0.4086  6 O 2.22-2.46
Ho  0.2957  0.2946  0.5914  6 O 2.22-2.46
Tb  0.0000  0.0000  0.0000  6 O 2.29-2.43
O  0.3522  0.7248  0.7043  3 Ho 2.25-2.46, 2 Tb 2.43
O  0.6478  0.2752  0.2957  3 Ho 2.25-2.46, 2 Tb 2.43
O  0.8636  0.1580  0.7273  3 Ho 2.22-2.38, 1 Tb 2.29



Material: CuMoW
Method: DFT, GGA-PBE
State: relaxed

Results
- Energy of formation: 0.323 eV/atom
- Uncorrected energy: -8.970 eV/atom
- Energy above the lowest structure with this stoichiometry: 91.7 meV per atom

Unit cell a=4.7707 b=4.7707 c=4.7707 alpha=139.80 beta=139.80 gamma=58.16
With the nearest neighbours (Å) after each atom.
Sites, in units of the cell vectors:
Mo  0.3309  0.3309  0.0000  5 W 2.69-2.82, 5 Cu 2.72-2.75
W  0.6685  0.6685  0.0000  5 Mo 2.69-2.82, 5 Cu 2.71-2.77
Cu  0.0007  0.0007  0.0000  5 W 2.71-2.77, 5 Mo 2.72-2.75